First-principles (GGA-PBE) data for an optimized crystal structure of TlGa2As, as listed in Alexandria via LeMat-Bulk.

CIF file:
```
data_TlGa2As
_symmetry_space_group_name_H-M 'I -4 2 d'
_symmetry_Int_Tables_number 122
_symmetry_space_group_name_Hall 'I -4 2bw'
_cell_length_a 6.420
_cell_length_b 6.420
_cell_length_c 10.941
_cell_angle_alpha 90.00
_cell_angle_beta 90.00
_cell_angle_gamma 90.00
loop_
_atom_site_label
_atom_site_fract_x
_atom_site_fract_y
_atom_site_fract_z
Tl1 0.000 0.000 0.000
Ga1 0.213 0.250 0.625
As1 0.000 0.000 0.500
```

First-principles (GGA-PBE) data for an optimized crystal structure of Tl2GaAs2, as listed in Alexandria via LeMat-Bulk.

CIF file:
```
data_Tl2GaAs2
_symmetry_space_group_name_H-M 'I 4/m m m'
_symmetry_Int_Tables_number 139
_symmetry_space_group_name_Hall '-I 4 2'
_cell_length_a 3.834
_cell_length_b 3.834
_cell_length_c 17.728
_cell_angle_alpha 90.00
_cell_angle_beta 90.00
_cell_angle_gamma 90.00
loop_
_atom_site_label
_atom_site_fract_x
_atom_site_fract_y
_atom_site_fract_z
Tl1 0.000 0.000 0.103
Ga1 0.000 0.000 0.500
As1 0.000 0.500 0.250
```

First-principles (GGA-PBE) data for an optimized crystal structure of TlGaAs, as listed in Alexandria via LeMat-Bulk.

CIF file:
```
data_TlGaAs
_symmetry_space_group_name_H-M 'P 3 m 1'
_symmetry_Int_Tables_number 156
_cell_length_a 4.0273
_cell_length_b 4.0273
_cell_length_c 5.5018
_cell_angle_alpha 90.00
_cell_angle_beta 90.00
_cell_angle_gamma 120.00
loop_
_symmetry_equiv_pos_as_xyz
'x,y,z'
'-y,x-y,z'
'-x+y,-x,z'
'-y,-x,z'
'-x+y,y,z'
'x,x-y,z'
loop_
_atom_site_label
_atom_site_fract_x
_atom_site_fract_y
_atom_site_fract_z
Tl1 0.0000 0.0000 0.0000
Ga1 0.3333 0.6667 0.4031
As1 0.6667 0.3333 0.5760
```

First-principles (GGA-PBE) data for an optimized crystal structure of Tl2GaAs2, as listed in Alexandria via LeMat-Bulk.

CIF file:
```
data_Tl2GaAs2
_symmetry_space_group_name_H-M 'P 4/m b m'
_symmetry_Int_Tables_number 127
_symmetry_space_group_name_Hall '-P 4 2ab'
_cell_length_a 6.819
_cell_length_b 6.819
_cell_length_c 5.694
_cell_angle_alpha 90.00
_cell_angle_beta 90.00
_cell_angle_gamma 90.00
loop_
_atom_site_label
_atom_site_fract_x
_atom_site_fract_y
_atom_site_fract_z
Tl1 0.183 0.317 0.000
Ga1 0.000 0.000 0.500
As1 0.128 0.628 0.500
```

First-principles (GGA-PBE) data for an optimized crystal structure of TlGa2As, as listed in Alexandria via LeMat-Bulk.

CIF file:
```
data_TlGa2As
_symmetry_space_group_name_H-M 'F m -3 m'
_symmetry_Int_Tables_number 225
_symmetry_space_group_name_Hall '-F 4 2 3'
_cell_length_a 7.118
_cell_length_b 7.118
_cell_length_c 7.118
_cell_angle_alpha 90.00
_cell_angle_beta 90.00
_cell_angle_gamma 90.00
loop_
_atom_site_label
_atom_site_fract_x
_atom_site_fract_y
_atom_site_fract_z
Tl1 0.000 0.000 0.000
Ga1 0.250 0.250 0.250
As1 0.000 0.000 0.500
```

First-principles (GGA-PBE) data for an optimized crystal structure of Tl2Ga2As, as listed in Alexandria via LeMat-Bulk.

CIF file:
```
data_Tl2Ga2As
_symmetry_space_group_name_H-M 'P 4/m b m'
_symmetry_Int_Tables_number 127
_symmetry_space_group_name_Hall '-P 4 2ab'
_cell_length_a 6.906
_cell_length_b 6.906
_cell_length_c 5.300
_cell_angle_alpha 90.00
_cell_angle_beta 90.00
_cell_angle_gamma 90.00
loop_
_atom_site_label
_atom_site_fract_x
_atom_site_fract_y
_atom_site_fract_z
Tl1 0.177 0.323 0.000
Ga1 0.135 0.635 0.500
As1 0.000 0.000 0.500
```

First-principles (GGA-PBE) data for an optimized crystal structure of Tl2GaAs, as listed in Alexandria via LeMat-Bulk.

CIF file:
```
data_Tl2GaAs
_symmetry_space_group_name_H-M 'F m -3 m'
_symmetry_Int_Tables_number 225
_symmetry_space_group_name_Hall '-F 4 2 3'
_cell_length_a 7.445
_cell_length_b 7.445
_cell_length_c 7.445
_cell_angle_alpha 90.00
_cell_angle_beta 90.00
_cell_angle_gamma 90.00
loop_
_atom_site_label
_atom_site_fract_x
_atom_site_fract_y
_atom_site_fract_z
Tl1 0.250 0.250 0.250
Ga1 0.000 0.000 0.000
As1 0.000 0.000 0.500
```

First-principles (GGA-PBE) data for an optimized crystal structure of TlGaAs, as listed in Alexandria via LeMat-Bulk.

CIF file:
```
data_TlGaAs
_symmetry_space_group_name_H-M 'I m m m'
_symmetry_Int_Tables_number 71
_symmetry_space_group_name_Hall '-I 2 2'
_cell_length_a 4.402
_cell_length_b 5.190
_cell_length_c 15.542
_cell_angle_alpha 90.00
_cell_angle_beta 90.00
_cell_angle_gamma 90.00
loop_
_atom_site_label
_atom_site_fract_x
_atom_site_fract_y
_atom_site_fract_z
Tl1 0.000 0.000 0.160
Ga1 0.000 0.263 0.500
As1 0.000 0.000 0.368
```

| no. | formation enthalpy at 0 K (eV/atom) |
| --- | --- |
| 1 | 0.073 |
| 2 | 0.160 |
| 3 | -0.083 |
| 4 | 0.049 |
| 5 | 0.150 |
| 6 | 0.040 |
| 7 | 0.162 |
| 8 | 0.074 |